No. 1
NaMnSe3 | SCAN | single point on PBEsol structure

Calculated values
As for the density: 4.22 g cm⁻³. The calculation puts the uncorrected formation energy at 51.19 kJ per mole of atoms.

Cell and atoms, written as CIF:
```
data_NaMnSe3
_space_group_name_H-M_alt 'P m -3 m'
_space_group_IT_number 221
_space_group_name_Hall '-P 4 2 3'
_cell_length_a 4.985
_cell_length_b 4.985
_cell_length_c 4.985
_cell_angle_alpha 90.00
_cell_angle_beta 90.00
_cell_angle_gamma 90.00
loop_
_atom_site_label
_atom_site_fract_x
_atom_site_fract_y
_atom_site_fract_z
Na1 0.000 0.000 0.000
Mn1 0.500 0.500 0.500
Se1 0.000 0.000 0.500
```

---

No. 2
NaMnSi2Se | SCAN | single point on PBEsol structure

Calculated values
As for the density: 3.01 g cm⁻³. The calculation puts the uncorrected formation energy at 68.31 kJ per mole of atoms.

Cell and atoms, written as CIF:
```
data_NaMnSi2Se
_space_group_name_H-M_alt 'P 4/m m m'
_space_group_IT_number 123
_space_group_name_Hall '-P 4 2'
_cell_length_a 5.094
_cell_length_b 5.094
_cell_length_c 4.523
_cell_angle_alpha 90.00
_cell_angle_beta 90.00
_cell_angle_gamma 90.00
loop_
_atom_site_label
_atom_site_fract_x
_atom_site_fract_y
_atom_site_fract_z
Na1 0.000 0.000 0.000
Mn1 0.500 0.500 0.000
Si1 0.000 0.500 0.500
Se1 0.500 0.500 0.500
```

---

No. 3
Na2Sr2Mn | SCAN | single point on PBEsol structure

Calculated values
As for the density: 2.46 g cm⁻³. The value obtained for the formation energy is 38.5 kJ per mole of atoms.

Cell and atoms, written as CIF:
```
data_Na2Sr2Mn
_space_group_name_H-M_alt 'I 4/m m m'
_space_group_IT_number 139
_space_group_name_Hall '-I 4 2'
_cell_length_a 6.557
_cell_length_b 6.557
_cell_length_c 8.668
_cell_angle_alpha 90.00
_cell_angle_beta 90.00
_cell_angle_gamma 90.00
loop_
_atom_site_label
_atom_site_fract_x
_atom_site_fract_y
_atom_site_fract_z
Na1 0.000 0.000 0.153
Sr1 0.000 0.500 0.250
Mn1 0.000 0.000 0.500
```

---

No. 4
Na2TaMn | SCAN | single point on PBEsol structure

Calculated values
As for the density: 5.86 g cm⁻³. The value obtained for the formation energy is 128.8 kJ per mole of atoms.

Cell and atoms, written as CIF:
```
data_Na2TaMn
_space_group_name_H-M_alt 'F m -3 m'
_space_group_IT_number 225
_space_group_name_Hall '-F 4 2 3'
_cell_length_a 6.837
_cell_length_b 6.837
_cell_length_c 6.837
_cell_angle_alpha 90.00
_cell_angle_beta 90.00
_cell_angle_gamma 90.00
loop_
_atom_site_label
_atom_site_fract_x
_atom_site_fract_y
_atom_site_fract_z
Na1 0.250 0.250 0.250
Ta1 0.000 0.000 0.000
Mn1 0.000 0.000 0.500
```